VASP calculation (GGA-PBE) on a relaxed structure of USiB.

Cell: 3.7999 3.7999 4.4562 Å, 115.24 115.24 90.00°
Closest atoms and distances in Å follow each position.
Fractional coordinates of all 3 atoms:
Si 0.9156 0.9156 0.8312  1 B 1.93
B 0.6435 0.6435 0.2870  1 Si 1.93
U 0.2909 0.2909 0.5818  1 B 2.51, 1 Si 2.67

Uncorrected energy = -7.3939 eV/atom
Size of the total moment = 0.551 μB per atom
Theoretical density = 8.96 g/cm³
Relative energy among the computed polymorphs = 0.776 eV/atom